Here is an optimized crystal structure of LiInAu2 from Alexandria via LeMat-Bulk. Energies are from GGA-PBEsol.

The structure in extended XYZ format:
```
4
Lattice="-1.7342 -1.7929 -3.8536 2.7572 -0.8908 -3.5605 0.9470 -4.3450 -1.1388" Properties=species:S:1:pos:R:3 pbc="T T T"
Au 0.0000 0.0000 0.0000
Au 1.4775 -5.2716 -6.4146
Li 0.4925 -1.7572 -2.1382
In 0.9850 -3.5144 -4.2764
```

## Properties
DOS at the Fermi energy ... 0.213 states/eV per atom
E ... -14.29 eV/f.u.
Energy relative to the elements ... -0.374 eV/atom

=====

Here is an optimized crystal structure of LiInAu from Alexandria via LeMat-Bulk. Energies are from GGA-PBEsol.

The structure in extended XYZ format:
```
3
Lattice="3.4626 0.0000 0.0000 0.0000 3.4626 0.0000 -1.7313 -1.7313 4.3421" Properties=species:S:1:pos:R:3 pbc="T T T"
Au 0.0000 0.0000 0.0797
In 0.0000 0.0000 2.8921
Li 1.7313 1.7313 1.3704
```

## Properties
DOS at the Fermi energy ... 0.287 states/eV per atom
E ... -10.17 eV/f.u.
Energy relative to the elements ... -0.431 eV/atom

=====

Here is an optimized crystal structure of LiInAu2 from Alexandria via LeMat-Bulk. Energies are from GGA-PBEsol.

The structure in extended XYZ format:
```
4
Lattice="-1.9721 -0.7698 2.7536 0.3632 -3.3854 -0.6863 4.6896 -0.1682 3.3117" Properties=species:S:1:pos:R:3 pbc="T T T"
Li 2.8519 -2.2087 3.6157
Au 4.5807 -0.1642 3.2348
Au 0.3644 -2.1195 1.8591
In 2.3180 -0.0831 1.6369
```

## Properties
DOS at the Fermi energy ... 0.307 states/eV per atom
E ... -14.17 eV/f.u.
Energy relative to the elements ... -0.342 eV/atom